(1)
A geometry-optimized Ce3SnGe2Au6 structure. Source: Alexandria, functional GGA-PBE.

Output
- crystal system = trigonal
- total energy (eV/atom) = -4.59

Unit cell a=6.302 b=6.302 c=8.410 alpha=90.00 beta=90.00 gamma=120.00
Element x y z (fractional)
1 Ce 0.000 0.000 0.000
2 Ce 0.333 0.667 0.643
3 Ce 0.667 0.333 0.357
4 Sn 0.000 0.000 0.500
5 Ge 0.333 0.667 0.024
6 Ge 0.667 0.333 0.976
7 Au 0.181 0.362 0.270
8 Au 0.181 0.819 0.270
9 Au 0.362 0.181 0.730
10 Au 0.638 0.819 0.270
11 Au 0.819 0.181 0.730
12 Au 0.819 0.638 0.730


(2)
A geometry-optimized Sr2CeGe3Au12 structure. Source: Alexandria, functional GGA-PBE.

Output
- crystal system = trigonal
- total energy (eV/atom) = -3.61

Unit cell a=8.249 b=8.249 c=8.249 alpha=67.91 beta=67.91 gamma=67.91
Element x y z (fractional)
1 Sr 0.098 0.098 0.098
2 Sr 0.902 0.902 0.902
3 Ce 0.500 0.500 0.500
4 Ge 0.000 0.500 0.500
5 Ge 0.500 0.000 0.500
6 Ge 0.500 0.500 0.000
7 Au 0.111 0.649 0.649
8 Au 0.185 0.185 0.655
9 Au 0.185 0.655 0.185
10 Au 0.345 0.815 0.815
11 Au 0.351 0.351 0.889
12 Au 0.351 0.889 0.351
13 Au 0.649 0.111 0.649
14 Au 0.649 0.649 0.111
15 Au 0.655 0.185 0.185
16 Au 0.815 0.345 0.815
17 Au 0.815 0.815 0.345
18 Au 0.889 0.351 0.351


(3)
A geometry-optimized TbCeGeAu structure. Source: Alexandria, functional GGA-PBE.

Output
- crystal system = orthorhombic
- total energy (eV/atom) = -5.37

Unit cell a=4.375 b=5.895 c=5.895 alpha=41.07 beta=90.00 gamma=90.00
Element x y z (fractional)
1 Tb 0.000 0.000 0.000
2 Ce 0.500 0.724 0.724
3 Ge 0.000 0.278 0.278
4 Au 0.500 0.447 0.447


(4)
A geometry-optimized TbCeGe2Au2 structure. Source: Alexandria, functional GGA-PBE.

Output
- crystal system = trigonal
- total energy (eV/atom) = -5.17

Unit cell a=4.452 b=4.452 c=7.783 alpha=90.00 beta=90.00 gamma=120.00
Element x y z (fractional)
1 Tb 0.000 0.000 0.000
2 Ce 0.000 0.000 0.500
3 Ge 0.333 0.667 0.734
4 Ge 0.667 0.333 0.266
5 Au 0.333 0.667 0.225
6 Au 0.667 0.333 0.775


(5)
A geometry-optimized TbCeGeAu structure. Source: Alexandria, functional GGA-PBE.

Output
- crystal system = cubic
- total energy (eV/atom) = -5.28

Unit cell a=5.160 b=5.160 c=5.160 alpha=60.00 beta=60.00 gamma=60.00
Element x y z (fractional)
1 Tb 0.000 0.000 0.000
2 Ce 0.500 0.500 0.500
3 Ge 0.750 0.750 0.750
4 Au 0.250 0.250 0.250


(6)
A geometry-optimized TbCe2Ge2Au2 structure. Source: Alexandria, functional GGA-PBE.

Output
- crystal system = trigonal
- total energy (eV/atom) = -5.22

Unit cell a=9.535 b=9.535 c=9.535 alpha=26.83 beta=26.83 gamma=26.83
Element x y z (fractional)
1 Tb 0.000 0.000 0.000
2 Ce 0.141 0.141 0.141
3 Ce 0.859 0.859 0.859
4 Ge 0.259 0.259 0.259
5 Ge 0.741 0.741 0.741
6 Au 0.400 0.400 0.400
7 Au 0.600 0.600 0.600